This record from the Alexandria database describes an optimized crystal structure of Li2Be2WO6. The functional is PBE+U.

Computed properties:
Its volume is 133.5 Å³ per cell. The density of states at the Fermi level is 0.000 states/eV/atom. As for the symmetry: No. 147. The value obtained for the raw total energy is -6.582 eV/atom. The magnetic moment comes out at 0.0 Bohr magnetons per cell.

```
Li2Be2WO6
1.0
4.994 0.000 0.000
-2.497 4.325 0.000
0.000 0.000 6.181
Li Be W O
2 2 1 6
Direct
0.333 0.667 0.265
0.667 0.333 0.735
0.333 0.667 0.814
0.667 0.333 0.186
0.000 0.000 0.000
0.046 0.707 0.815
0.293 0.339 0.815
0.339 0.046 0.185
0.661 0.954 0.815
0.707 0.661 0.185
0.954 0.293 0.185
```